VASP calculation (GGA-PBEsol) on a relaxed RbSb3Se5 crystal.

Lattice parameters (Å, degrees): 21.806 4.053 12.240 90.00 90.00 90.00
Space group Pnma (No. 62)
Unique sites:
Rb: 0.094 0.250 0.171 x4
Sb: 0.057 0.750 0.613 x4
Sb: 0.163 0.250 0.820 x4
Sb: 0.201 0.250 0.472 x4
Se: 0.037 0.250 0.776 x4
Se: 0.075 0.250 0.450 x4
Se: 0.165 0.750 0.978 x4
Se: 0.183 0.750 0.652 x4
Se: 0.205 0.750 0.318 x4

Computed properties:
Excess energy over the best structure of this formula in the dataset = 0.000 eV/atom
E_form (uncorrected) = -0.459 eV per atom
E_tot = -4.231 eV per atom